## HfCo (PBE)

Data for a relaxed HfCo crystal.

Properties
Its energy relative to the elements is 1.119 eV/atom. As for the total moment: 0.0000 μB/atom.

Cell and atoms, written as CIF:
```
data_HfCo
_chemical_formula_sum 'Hf6 Co6'
_cell_length_a 6.881
_cell_length_b 6.881
_cell_length_c 6.881
_cell_angle_alpha 90.00
_cell_angle_beta 90.00
_cell_angle_gamma 90.00
_symmetry_space_group_name_H-M 'P m -3 n'
_symmetry_Int_Tables_number 223
_symmetry_space_group_name_Hall '-P 4n 2 3'
loop_
_atom_site_label
_atom_site_type_symbol
_atom_site_fract_x
_atom_site_fract_y
_atom_site_fract_z
Hf1 Hf 0.000 0.250 0.500
Co1 Co 0.000 0.500 0.250
```